! GaP2S6, relaxed, DFT PBE; values from VASP
&SYSTEM
  ibrav = 0, nat = 18, ntyp = 3
/
ATOMIC_SPECIES
Ga 69.72 Ga.upf
P 30.97 P.upf
S 32.06 S.upf
ATOMIC_POSITIONS angstrom
Ga 0.7887 3.1866 7.1640
Ga 2.0287 -4.7902 8.0292
P 3.2215 0.8857 8.9164
P 0.3883 0.5249 4.5109
P -0.4041 -2.4893 6.2768
P 2.4291 -2.1285 10.6824
S 2.8479 -1.3272 8.7850
S 2.1834 -0.7331 4.0123
S -0.0305 -0.2765 6.4082
S 0.6340 -0.8706 11.1809
S 1.8482 -4.0393 10.2869
S 1.3670 -3.4846 6.1448
S 0.9692 2.4357 4.9063
S 1.4504 1.8810 9.0484
S 4.5311 1.2867 10.3914
S -1.0116 0.3444 3.0760
S -1.7137 -2.8904 4.8018
S 3.8291 -1.9480 12.1173
CELL_PARAMETERS angstrom
-3.2011 -2.0820 4.2481
5.4022 -5.6037 4.4121
0.6162 6.0821 6.5330
! Energy relative to the elements, uncorrected ... -1.39 eV per formula unit
! Calculated volume ... 23.6 Å³/atom
! Spin magnetization ... 0.00 μB per formula unit
! DFT total energy ... -4.445 eV/atom
! Space group ... No. 15